(1)
Crystalline Ho2PuNpO8 at its relaxed geometry, computed with PBE.

The structure in CIF format:
```
data_Ho2PuNpO8
_chemical_formula_sum 'Ho2 Pu1 Np1 O8'
_cell_length_a 3.7731
_cell_length_b 7.5179
_cell_length_c 5.3295
_cell_angle_alpha 90.00
_cell_angle_beta 90.23
_cell_angle_gamma 90.00
_symmetry_space_group_name_H-M 'P 1 2/m 1'
_symmetry_Int_Tables_number 10
loop_
_symmetry_equiv_pos_as_xyz
'x,y,z'
'-x,-y,-z'
'-x,y,-z'
'x,-y,z'
loop_
_atom_site_label
_atom_site_type_symbol
_atom_site_fract_x
_atom_site_fract_y
_atom_site_fract_z
Ho1 Ho 0.0000 0.2503 0.0000
Pu1 Pu 0.5000 0.0000 0.5000
Np1 Np 0.5000 0.5000 0.5000
O1 O 0.0019 0.0000 0.2571
O2 O 0.0020 0.5000 0.2644
O3 O 0.4982 0.2590 0.7390
```

Properties
- E_form (uncorrected): -3.2306 eV per atom
- Fermi-level density of states: 9.828 states/eV per cell
- VASP energy: -9.572 eV per atom
- Volume: 12.60 A^3/atom

=====

(2)
Crystalline EuHoAg at its relaxed geometry, computed with PBE.

The structure in CIF format:
```
data_EuHoAg
_chemical_formula_sum 'Eu1 Ho1 Ag1'
_cell_length_a 5.1131
_cell_length_b 5.1131
_cell_length_c 3.8983
_cell_angle_alpha 90.00
_cell_angle_beta 90.00
_cell_angle_gamma 120.00
_symmetry_space_group_name_H-M 'P 3 m 1'
_symmetry_Int_Tables_number 156
loop_
_symmetry_equiv_pos_as_xyz
'x,y,z'
'-y,x-y,z'
'-x+y,-x,z'
'-y,-x,z'
'-x+y,y,z'
'x,x-y,z'
loop_
_atom_site_label
_atom_site_type_symbol
_atom_site_fract_x
_atom_site_fract_y
_atom_site_fract_z
Eu1 Eu 0.0000 0.0000 0.0000
Ho1 Ho 0.3333 0.6667 0.5248
Ag1 Ag 0.6667 0.3333 0.4093
```

Properties
- Fermi-level density of states: 2.387 states/eV per cell
- VASP energy: -5.896 eV per atom
- Volume: 29.42 A^3/atom
- ΔH_f (0 K): 0.00 eV per atom